Compound: CsMnCo2
Source: Alexandria
Functional: PBE
Structure: optimized geometry

Computed properties:
V, Å³/f.u.: 69.52
Crystal system: cubic
ΔE_f, kcal/mol of atoms: 34.61
Calculated density, g cm⁻³: 7.30

Cell lengths 4.6154, 4.6154, 4.6154 Å; angles 60.00, 60.00, 60.00 degrees
Sites, in units of the cell vectors:
Cs (0.5000, 0.5000, 0.5000)
Mn (0.0000, 0.0000, 0.0000)
Co (0.2500, 0.2500, 0.2500)
Co (0.7500, 0.7500, 0.7500)


Compound: KCu2Re
Source: Alexandria
Functional: PBE
Structure: optimized geometry

Computed properties:
V, Å³/f.u.: 72.46
Crystal system: cubic
ΔE_f, kcal/mol of atoms: 32.15
Energy relative to the lowest polymorph listed for this composition, meV per atom: 743
Calculated density, g cm⁻³: 8.08

Cell lengths 4.6796, 4.6796, 4.6796 Å; angles 60.00, 60.00, 60.00 degrees
Sites, in units of the cell vectors:
Re (0.5000, 0.5000, 0.5000)
K (0.0000, 0.0000, 0.0000)
Cu (0.2500, 0.2500, 0.2500)
Cu (0.7500, 0.7500, 0.7500)


Compound: CuHg2As
Source: Alexandria
Functional: PBE
Structure: optimized geometry

Computed properties:
V, Å³/f.u.: 81.26
Crystal system: trigonal
ΔE_f, kcal/mol of atoms: 7.66
Calculated density, g cm⁻³: 11.03

Cell lengths 8.8552, 8.8552, 8.8552 Å; angles 21.44, 21.44, 21.44 degrees
Sites, in units of the cell vectors:
As (0.7500, 0.7500, 0.7500)
Cu (0.2500, 0.2500, 0.2500)
Hg (0.9920, 0.9920, 0.9920)
Hg (0.5080, 0.5080, 0.5080)


Compound: PrLuCdOs
Source: Alexandria
Functional: PBE
Structure: optimized geometry

Computed properties:
V, Å³/f.u.: 92.34
Crystal system: cubic
ΔE_f, kcal/mol of atoms: -2.60
Calculated density, g cm⁻³: 11.12

Cell lengths 5.0735, 5.0735, 5.0735 Å; angles 60.00, 60.00, 60.00 degrees
Sites, in units of the cell vectors:
Pr (0.2500, 0.2500, 0.2500)
Lu (0.7500, 0.7500, 0.7500)
Os (0.5000, 0.5000, 0.5000)
Cd (0.0000, 0.0000, 0.0000)


Compound: BaGaSbP2
Source: Alexandria
Functional: PBE
Structure: optimized geometry

Computed properties:
V, Å³/f.u.: 170.51
Crystal system: tetragonal
ΔE_f (raw), eV/atom: 0.5202
Energy relative to the lowest polymorph listed for this composition, meV per atom: 409
Calculated density, g cm⁻³: 3.81

Cell lengths 5.1845, 6.3437, 5.1845 Å; angles 90.00, 90.00, 90.00 degrees
Sites, in units of the cell vectors:
Sb (0.0000, 0.0000, 0.0000)
Ba (0.0000, 0.5000, 0.0000)
Ga (0.5000, 0.5000, 0.5000)
P (0.0000, 0.0000, 0.5000)
P (0.5000, 0.0000, 0.0000)


Compound: MgCd3Ag6
Source: Alexandria
Functional: PBE
Structure: optimized geometry

Computed properties:
V, Å³/f.u.: 202.58
Crystal system: orthorhombic
ΔE_f, kcal/mol of atoms: 0.25
Energy relative to the lowest polymorph listed for this composition, meV per atom: 102
Calculated density, g cm⁻³: 8.27

Cell lengths 5.7015, 8.4540, 8.4540 Å; angles 96.13, 90.00, 90.00 degrees
Sites, in units of the cell vectors:
Mg (0.9860, 0.2011, 0.7989)
Mg (0.4860, 0.7989, 0.2011)
Cd (0.5219, 0.8333, 0.7417)
Cd (0.0219, 0.7417, 0.8333)
Cd (0.2174, 0.4113, 0.5887)
Cd (0.7174, 0.5887, 0.4113)
Cd (0.0219, 0.1667, 0.2583)
Cd (0.5219, 0.2583, 0.1667)
Ag (0.1960, 0.7349, 0.5074)
Ag (0.6960, 0.5074, 0.7349)
Ag (0.2960, 0.4924, 0.9433)
Ag (0.7960, 0.9433, 0.4924)
Ag (0.2568, 0.0018, 0.9982)
Ag (0.4974, 0.2017, 0.7983)
Ag (0.9974, 0.7983, 0.2017)
Ag (0.7568, 0.9982, 0.0018)
Ag (0.2960, 0.0567, 0.5076)
Ag (0.7960, 0.5076, 0.0567)
Ag (0.1960, 0.4926, 0.2651)
Ag (0.6960, 0.2651, 0.4926)


Compound: MgAg2Hg2
Source: Alexandria
Functional: PBE
Structure: optimized geometry

Computed properties:
V, Å³/f.u.: 114.90
Crystal system: tetragonal
ΔE_f, kcal/mol of atoms: 2.64
Energy relative to the lowest polymorph listed for this composition, meV per atom: 178
Calculated density, g cm⁻³: 9.27

Cell lengths 4.0007, 4.0007, 7.7158 Å; angles 74.97, 74.97, 90.00 degrees
Sites, in units of the cell vectors:
Mg (0.0000, 0.0000, 0.0000)
Hg (0.7500, 0.2500, 0.5000)
Hg (0.2500, 0.7500, 0.5000)
Ag (0.4068, 0.4068, 0.1864)
Ag (0.5932, 0.5932, 0.8136)


Compound: Zr5Zn
Source: Alexandria
Functional: PBE
Structure: optimized geometry

Computed properties:
V, Å³/f.u.: 131.50
Crystal system: monoclinic
ΔE_f, kcal/mol of atoms: -0.94
Energy relative to the lowest polymorph listed for this composition, meV per atom: 24
Calculated density, g cm⁻³: 6.59

Cell lengths 3.1676, 5.9424, 7.5069 Å; angles 75.47, 90.00, 105.46 degrees
Sites, in units of the cell vectors:
Zn (0.9950, 0.9899, 0.0014)
Zr (0.3934, 0.7869, 0.7405)
Zr (0.6768, 0.3537, 0.6670)
Zr (0.0553, 0.1106, 0.3963)
Zr (0.3431, 0.6861, 0.3046)
Zr (0.7031, 0.4062, 0.0569)


Compound: Pm4Sm5Hg4
Source: Alexandria
Functional: PBE
Structure: optimized geometry

Computed properties:
V, Å³/f.u.: 395.19
Crystal system: tetragonal
ΔE_f, kcal/mol of atoms: -7.11
Calculated density, g cm⁻³: 8.97

Cell lengths 5.2897, 9.0390, 9.0390 Å; angles 85.09, 72.99, 72.99 degrees
Sites, in units of the cell vectors:
Pm (0.9018, 0.4873, 0.7090)
Pm (0.6109, 0.2910, 0.4873)
Pm (0.0982, 0.5127, 0.2910)
Pm (0.3891, 0.7090, 0.5127)
Sm (0.6831, 0.9335, 0.7002)
Sm (0.3169, 0.0665, 0.2998)
Sm (0.0000, 0.0000, 0.0000)
Sm (0.6166, 0.7002, 0.0665)
Sm (0.3834, 0.2998, 0.9335)
Hg (0.7645, 0.3362, 0.1347)
Hg (0.2355, 0.6638, 0.8653)
Hg (0.8993, 0.8653, 0.3362)
Hg (0.1007, 0.1347, 0.6638)


Compound: Ba2Tl2Pb
Source: Alexandria
Functional: PBE
Structure: optimized geometry

Computed properties:
V, Å³/f.u.: 193.15
Crystal system: tetragonal
ΔE_f, kcal/mol of atoms: -8.53
Energy relative to the lowest polymorph listed for this composition, meV per atom: 46
Calculated density, g cm⁻³: 7.66

Cell lengths 8.4391, 8.4391, 5.4242 Å; angles 90.00, 90.00, 90.00 degrees
Sites, in units of the cell vectors:
Pb (0.0000, 0.0000, 0.0000)
Pb (0.5000, 0.5000, 0.0000)
Tl (0.3714, 0.8714, 0.0000)
Tl (0.8714, 0.6286, 0.0000)
Tl (0.6286, 0.1286, 0.0000)
Tl (0.1286, 0.3714, 0.0000)
Ba (0.1784, 0.6784, 0.5000)
Ba (0.6784, 0.8216, 0.5000)
Ba (0.8216, 0.3216, 0.5000)
Ba (0.3216, 0.1784, 0.5000)


Compound: Mg2OsF
Source: Alexandria
Functional: PBE
Structure: optimized geometry

Computed properties:
V, Å³/f.u.: 63.34
Crystal system: tetragonal
ΔE_f (raw), eV/atom: -0.4721
Energy relative to the lowest polymorph listed for this composition, meV per atom: 0
Calculated density, g cm⁻³: 6.76

Cell lengths 6.1331, 6.1331, 5.4908 Å; angles 56.05, 56.05, 90.00 degrees
Sites, in units of the cell vectors:
Mg (0.5411, 0.1250, 0.2500)
Mg (0.2089, 0.6250, 0.2500)
Mg (0.3750, 0.4589, 0.7500)
Mg (0.8750, 0.7911, 0.7500)
Os (0.0000, 0.0000, 0.0000)
Os (0.7500, 0.2500, 0.5000)
F (0.5000, 0.5000, 0.0000)
F (0.2500, 0.7500, 0.5000)


Compound: Nd4MgHg5
Source: Alexandria
Functional: PBE
Structure: optimized geometry

Computed properties:
V, Å³/f.u.: 269.29
Crystal system: tetragonal
ΔE_f, kcal/mol of atoms: -9.95
Calculated density, g cm⁻³: 9.89

Cell lengths 3.7732, 3.7732, 18.9142 Å; angles 90.00, 90.00, 90.00 degrees
Sites, in units of the cell vectors:
Nd (0.0000, 0.0000, 0.1896)
Nd (0.0000, 0.0000, 0.3960)
Nd (0.0000, 0.0000, 0.6040)
Nd (0.0000, 0.0000, 0.8104)
Mg (0.0000, 0.0000, 0.0000)
Hg (0.5000, 0.5000, 0.0865)
Hg (0.5000, 0.5000, 0.2939)
Hg (0.5000, 0.5000, 0.5000)
Hg (0.5000, 0.5000, 0.7061)
Hg (0.5000, 0.5000, 0.9135)


What is the formula in the fourth record? PrLuCdOs


calculated density of number 12 (Nd4MgHg5)? 9.89 g cm⁻³


Please write out number 6 again, unchanged.
Compound: MgCd3Ag6
Source: Alexandria
Functional: PBE
Structure: optimized geometry

Computed properties:
V, Å³/f.u.: 202.58
Crystal system: orthorhombic
ΔE_f, kcal/mol of atoms: 0.25
Energy relative to the lowest polymorph listed for this composition, meV per atom: 102
Calculated density, g cm⁻³: 8.27

Cell lengths 5.7015, 8.4540, 8.4540 Å; angles 96.13, 90.00, 90.00 degrees
Sites, in units of the cell vectors:
Mg (0.9860, 0.2011, 0.7989)
Mg (0.4860, 0.7989, 0.2011)
Cd (0.5219, 0.8333, 0.7417)
Cd (0.0219, 0.7417, 0.8333)
Cd (0.2174, 0.4113, 0.5887)
Cd (0.7174, 0.5887, 0.4113)
Cd (0.0219, 0.1667, 0.2583)
Cd (0.5219, 0.2583, 0.1667)
Ag (0.1960, 0.7349, 0.5074)
Ag (0.6960, 0.5074, 0.7349)
Ag (0.2960, 0.4924, 0.9433)
Ag (0.7960, 0.9433, 0.4924)
Ag (0.2568, 0.0018, 0.9982)
Ag (0.4974, 0.2017, 0.7983)
Ag (0.9974, 0.7983, 0.2017)
Ag (0.7568, 0.9982, 0.0018)
Ag (0.2960, 0.0567, 0.5076)
Ag (0.7960, 0.5076, 0.0567)
Ag (0.1960, 0.4926, 0.2651)
Ag (0.6960, 0.2651, 0.4926)


Number 11 is which compound? Mg2OsF